# GdZnBiAu | Alexandria via LeMat-Bulk | PBE | optimized geometry
# Crystal system: cubic
# Calculated formation energy in eV per atom: -0.399
# Space-group type: No. 216
data_GdZnBiAu
_chemical_formula_sum 'Gd1 Zn1 Bi1 Au1'
_symmetry_space_group_name_H-M 'P 1'
_symmetry_Int_Tables_number 1
_cell_length_a 5.1057
_cell_length_b 5.1057
_cell_length_c 5.1057
_cell_angle_alpha 60.00
_cell_angle_beta 60.00
_cell_angle_gamma 60.00
loop_
_symmetry_equiv_pos_as_xyz
'x,y,z'
loop_
_atom_site_label
_atom_site_fract_x
_atom_site_fract_y
_atom_site_fract_z
_atom_site_occupancy
Gd1 0.0000 0.0000 0.0000 1
Zn1 0.2500 0.2500 0.2500 1
Bi1 0.5000 0.5000 0.5000 1
Au1 0.7500 0.7500 0.7500 1

***

# DyGaCuAu | Alexandria via LeMat-Bulk | PBE | optimized geometry
# Crystal system: cubic
# Calculated formation energy in eV per atom: -0.483
# Space-group type: No. 216
data_DyGaCuAu
_chemical_formula_sum 'Dy1 Ga1 Cu1 Au1'
_symmetry_space_group_name_H-M 'P 1'
_symmetry_Int_Tables_number 1
_cell_length_a 4.7157
_cell_length_b 4.7157
_cell_length_c 4.7157
_cell_angle_alpha 60.00
_cell_angle_beta 60.00
_cell_angle_gamma 60.00
loop_
_symmetry_equiv_pos_as_xyz
'x,y,z'
loop_
_atom_site_label
_atom_site_fract_x
_atom_site_fract_y
_atom_site_fract_z
_atom_site_occupancy
Dy1 0.0000 0.0000 0.0000 1
Ga1 0.5000 0.5000 0.5000 1
Cu1 0.2500 0.2500 0.2500 1
Au1 0.7500 0.7500 0.7500 1

***

# Ba2Zn3InAu4 | Alexandria via LeMat-Bulk | PBE | optimized geometry
# Crystal system: tetragonal
# Calculated formation energy in eV per atom: -0.502
# Space-group type: No. 115
data_Ba2Zn3InAu4
_chemical_formula_sum 'Ba2 Zn3 In1 Au4'
_symmetry_space_group_name_H-M 'P 1'
_symmetry_Int_Tables_number 1
_cell_length_a 4.8033
_cell_length_b 4.8033
_cell_length_c 10.6029
_cell_angle_alpha 90.00
_cell_angle_beta 90.00
_cell_angle_gamma 90.00
loop_
_symmetry_equiv_pos_as_xyz
'x,y,z'
loop_
_atom_site_label
_atom_site_fract_x
_atom_site_fract_y
_atom_site_fract_z
_atom_site_occupancy
Ba1 0.0000 0.5000 0.2373 1
Ba2 0.5000 0.0000 0.7627 1
Zn1 0.0000 0.5000 0.8853 1
Zn2 0.5000 0.0000 0.1147 1
Zn3 0.5000 0.5000 0.5000 1
In1 0.0000 0.0000 0.5000 1
Au1 0.0000 0.0000 0.0000 1
Au2 0.0000 0.5000 0.6354 1
Au3 0.5000 0.0000 0.3646 1
Au4 0.5000 0.5000 0.0000 1

***

# PrTaO4 | Alexandria via LeMat-Bulk | PBE | optimized geometry
# Crystal system: monoclinic
# Space-group type: No. 14
data_PrTaO4
_chemical_formula_sum 'Pr4 Ta4 O16'
_symmetry_space_group_name_H-M 'P 1'
_symmetry_Int_Tables_number 1
_cell_length_a 7.7274
_cell_length_b 5.5535
_cell_length_c 7.8081
_cell_angle_alpha 90.00
_cell_angle_beta 100.31
_cell_angle_gamma 90.00
loop_
_symmetry_equiv_pos_as_xyz
'x,y,z'
loop_
_atom_site_label
_atom_site_fract_x
_atom_site_fract_y
_atom_site_fract_z
_atom_site_occupancy
Pr1 0.1522 0.2216 0.3987 1
Pr2 0.1522 0.2784 0.8987 1
Pr3 0.8478 0.7216 0.1013 1
Pr4 0.8478 0.7784 0.6013 1
Ta1 0.3348 0.7328 0.1939 1
Ta2 0.3348 0.7672 0.6939 1
Ta3 0.6652 0.2328 0.3061 1
Ta4 0.6652 0.2672 0.8061 1
O1 0.1173 0.5161 0.1705 1
O2 0.1173 0.9839 0.6705 1
O3 0.1703 0.5074 0.6307 1
O4 0.1703 0.9926 0.1307 1
O5 0.3324 0.6533 0.9449 1
O6 0.3324 0.8467 0.4449 1
O7 0.4431 0.0892 0.7957 1
O8 0.4431 0.4108 0.2957 1
O9 0.5569 0.5892 0.7043 1
O10 0.5569 0.9108 0.2043 1
O11 0.6676 0.1533 0.5551 1
O12 0.6676 0.3467 0.0551 1
O13 0.8297 0.0074 0.8693 1
O14 0.8297 0.4926 0.3693 1
O15 0.8827 0.0161 0.3295 1
O16 0.8827 0.4839 0.8295 1

***

# PmPrHoZr | Alexandria via LeMat-Bulk | PBE | optimized geometry
# Crystal system: cubic
# Calculated formation energy in eV per atom: 0.251
# Space-group type: No. 216
data_PmPrHoZr
_chemical_formula_sum 'Pm1 Pr1 Ho1 Zr1'
_symmetry_space_group_name_H-M 'P 1'
_symmetry_Int_Tables_number 1
_cell_length_a 5.5771
_cell_length_b 5.5771
_cell_length_c 5.5771
_cell_angle_alpha 60.00
_cell_angle_beta 60.00
_cell_angle_gamma 60.00
loop_
_symmetry_equiv_pos_as_xyz
'x,y,z'
loop_
_atom_site_label
_atom_site_fract_x
_atom_site_fract_y
_atom_site_fract_z
_atom_site_occupancy
Pm1 0.0000 0.0000 0.0000 1
Pr1 0.2500 0.2500 0.2500 1
Ho1 0.5000 0.5000 0.5000 1
Zr1 0.7500 0.7500 0.7500 1

***

# Na2Ag | Alexandria via LeMat-Bulk | PBE | optimized geometry
# Crystal system: monoclinic
# Calculated formation energy in eV per atom: 0.028
# Space-group type: No. 12
data_Na2Ag
_chemical_formula_sum 'Na2 Ag1'
_symmetry_space_group_name_H-M 'P 1'
_symmetry_Int_Tables_number 1
_cell_length_a 5.2450
_cell_length_b 5.2450
_cell_length_c 3.0373
_cell_angle_alpha 91.54
_cell_angle_beta 91.54
_cell_angle_gamma 61.19
loop_
_symmetry_equiv_pos_as_xyz
'x,y,z'
loop_
_atom_site_label
_atom_site_fract_x
_atom_site_fract_y
_atom_site_fract_z
_atom_site_occupancy
Na1 0.1681 0.1681 0.3495 1
Na2 0.8319 0.8319 0.6505 1
Ag1 0.5000 0.5000 0.0000 1

***

# Tb4YS5 | Alexandria via LeMat-Bulk | PBE | optimized geometry
# Crystal system: orthorhombic
# Space-group type: No. 71
data_Tb4YS5
_chemical_formula_sum 'Tb4 Y1 S5'
_symmetry_space_group_name_H-M 'P 1'
_symmetry_Int_Tables_number 1
_cell_length_a 10.3896
_cell_length_b 10.3896
_cell_length_c 10.3896
_cell_angle_alpha 158.20
_cell_angle_beta 149.05
_cell_angle_gamma 38.17
loop_
_symmetry_equiv_pos_as_xyz
'x,y,z'
loop_
_atom_site_label
_atom_site_fract_x
_atom_site_fract_y
_atom_site_fract_z
_atom_site_occupancy
Tb1 0.1001 0.1001 0.0000 1
Tb2 0.3000 0.3000 0.0000 1
Tb3 0.7000 0.7000 0.0000 1
Tb4 0.8999 0.8999 0.0000 1
Y1 0.5000 0.5000 0.0000 1
S1 0.0000 0.5000 0.5000 1
S2 0.2000 0.7000 0.5000 1
S3 0.4003 0.9003 0.5000 1
S4 0.5997 0.0997 0.5000 1
S5 0.8000 0.3000 0.5000 1

***

# Ca3In4Ag8 | Alexandria via LeMat-Bulk | PBE | optimized geometry
# Crystal system: cubic
# Calculated formation energy in eV per atom: -0.243
# Space-group type: No. 225
data_Ca3In4Ag8
_chemical_formula_sum 'Ca6 In8 Ag16'
_symmetry_space_group_name_H-M 'P 1'
_symmetry_Int_Tables_number 1
_cell_length_a 9.8020
_cell_length_b 9.8020
_cell_length_c 9.8020
_cell_angle_alpha 60.00
_cell_angle_beta 60.00
_cell_angle_gamma 60.00
loop_
_symmetry_equiv_pos_as_xyz
'x,y,z'
loop_
_atom_site_label
_atom_site_fract_x
_atom_site_fract_y
_atom_site_fract_z
_atom_site_occupancy
Ca1 0.2285 0.2285 0.7715 1
Ca2 0.2285 0.7715 0.2285 1
Ca3 0.2285 0.7715 0.7715 1
Ca4 0.7715 0.2285 0.2285 1
Ca5 0.7715 0.2285 0.7715 1
Ca6 0.7715 0.7715 0.2285 1
In1 0.0000 0.0000 0.0000 1
In2 0.0000 0.0000 0.5000 1
In3 0.0000 0.5000 0.0000 1
In4 0.0000 0.5000 0.5000 1
In5 0.5000 0.0000 0.0000 1
In6 0.5000 0.0000 0.5000 1
In7 0.5000 0.5000 0.0000 1
In8 0.5000 0.5000 0.5000 1
Ag1 0.1319 0.6227 0.6227 1
Ag2 0.1661 0.1661 0.1661 1
Ag3 0.1661 0.1661 0.5016 1
Ag4 0.1661 0.5016 0.1661 1
Ag5 0.3773 0.3773 0.3773 1
Ag6 0.3773 0.3773 0.8681 1
Ag7 0.3773 0.8681 0.3773 1
Ag8 0.4984 0.8339 0.8339 1
Ag9 0.5016 0.1661 0.1661 1
Ag10 0.6227 0.1319 0.6227 1
Ag11 0.6227 0.6227 0.1319 1
Ag12 0.6227 0.6227 0.6227 1
Ag13 0.8339 0.4984 0.8339 1
Ag14 0.8339 0.8339 0.4984 1
Ag15 0.8339 0.8339 0.8339 1
Ag16 0.8681 0.3773 0.3773 1

***

# Ca3Ag2Bi4Pb2 | Alexandria via LeMat-Bulk | PBE | optimized geometry
# Crystal system: trigonal
# Calculated formation energy in eV per atom: -0.414
# Space-group type: No. 164
data_Ca3Ag2Bi4Pb2
_chemical_formula_sum 'Ca3 Ag2 Bi4 Pb2'
_symmetry_space_group_name_H-M 'P 1'
_symmetry_Int_Tables_number 1
_cell_length_a 4.8472
_cell_length_b 4.8472
_cell_length_c 17.1675
_cell_angle_alpha 90.00
_cell_angle_beta 90.00
_cell_angle_gamma 120.00
loop_
_symmetry_equiv_pos_as_xyz
'x,y,z'
loop_
_atom_site_label
_atom_site_fract_x
_atom_site_fract_y
_atom_site_fract_z
_atom_site_occupancy
Ca1 0.0000 0.0000 0.0000 1
Ca2 0.0000 0.0000 0.2350 1
Ca3 0.0000 0.0000 0.7650 1
Ag1 0.3333 0.6667 0.1499 1
Ag2 0.6667 0.3333 0.8501 1
Bi1 0.3333 0.6667 0.3374 1
Bi2 0.3333 0.6667 0.8920 1
Bi3 0.6667 0.3333 0.1080 1
Bi4 0.6667 0.3333 0.6626 1
Pb1 0.3333 0.6667 0.5730 1
Pb2 0.6667 0.3333 0.4270 1

***

# Y3HoRu8 | Alexandria via LeMat-Bulk | PBE | optimized geometry
# Crystal system: trigonal
# Calculated formation energy in eV per atom: -0.294
# Space-group type: No. 160
data_Y3HoRu8
_chemical_formula_sum 'Y3 Ho1 Ru8'
_symmetry_space_group_name_H-M 'P 1'
_symmetry_Int_Tables_number 1
_cell_length_a 9.2768
_cell_length_b 9.2768
_cell_length_c 9.2768
_cell_angle_alpha 33.38
_cell_angle_beta 33.38
_cell_angle_gamma 33.38
loop_
_symmetry_equiv_pos_as_xyz
'x,y,z'
loop_
_atom_site_label
_atom_site_fract_x
_atom_site_fract_y
_atom_site_fract_z
_atom_site_occupancy
Y1 0.0000 0.0000 0.0000 1
Y2 0.1250 0.1250 0.1250 1
Y3 0.6248 0.6248 0.6248 1
Ho1 0.5001 0.5001 0.5001 1
Ru1 0.0626 0.0626 0.5615 1
Ru2 0.0626 0.5615 0.0626 1
Ru3 0.0632 0.5625 0.5625 1
Ru4 0.3126 0.3126 0.3126 1
Ru5 0.5615 0.0626 0.0626 1
Ru6 0.5625 0.0632 0.5625 1
Ru7 0.5625 0.5625 0.0632 1
Ru8 0.8127 0.8127 0.8127 1

***

# TbZr3Co8 | Alexandria via LeMat-Bulk | PBE | optimized geometry
# Crystal system: trigonal
# Calculated formation energy in eV per atom: -0.261
# Space-group type: No. 160
data_TbZr3Co8
_chemical_formula_sum 'Tb1 Zr3 Co8'
_symmetry_space_group_name_H-M 'P 1'
_symmetry_Int_Tables_number 1
_cell_length_a 8.5578
_cell_length_b 8.5578
_cell_length_c 8.5578
_cell_angle_alpha 33.51
_cell_angle_beta 33.51
_cell_angle_gamma 33.51
loop_
_symmetry_equiv_pos_as_xyz
'x,y,z'
loop_
_atom_site_label
_atom_site_fract_x
_atom_site_fract_y
_atom_site_fract_z
_atom_site_occupancy
Tb1 0.0000 0.0000 0.0000 1
Zr1 0.1262 0.1262 0.1262 1
Zr2 0.5005 0.5005 0.5005 1
Zr3 0.6239 0.6239 0.6239 1
Co1 0.0622 0.0622 0.5583 1
Co2 0.0622 0.5583 0.0622 1
Co3 0.0668 0.5634 0.5634 1
Co4 0.3125 0.3125 0.3125 1
Co5 0.5583 0.0622 0.0622 1
Co6 0.5634 0.0668 0.5634 1
Co7 0.5634 0.5634 0.0668 1
Co8 0.8129 0.8129 0.8129 1

***

# RbAlSb | Alexandria via LeMat-Bulk | PBE | optimized geometry
# Crystal system: tetragonal
# ΔE to the lowest computed polymorph in meV/atom: 0
# Space-group type: No. 129
data_RbAlSb
_chemical_formula_sum 'Rb2 Al2 Sb2'
_symmetry_space_group_name_H-M 'P 1'
_symmetry_Int_Tables_number 1
_cell_length_a 5.1335
_cell_length_b 5.1335
_cell_length_c 7.9943
_cell_angle_alpha 90.00
_cell_angle_beta 90.00
_cell_angle_gamma 90.00
loop_
_symmetry_equiv_pos_as_xyz
'x,y,z'
loop_
_atom_site_label
_atom_site_fract_x
_atom_site_fract_y
_atom_site_fract_z
_atom_site_occupancy
Rb1 0.2500 0.2500 0.1627 1
Rb2 0.7500 0.7500 0.8373 1
Al1 0.2500 0.7500 0.5000 1
Al2 0.7500 0.2500 0.5000 1
Sb1 0.2500 0.2500 0.6652 1
Sb2 0.7500 0.7500 0.3348 1

***

| no. | ρ (g/cm³) | E_tot (eV/atom) | density of states at the Fermi level (states/eV/f.u.) |
| --- | --- | --- | --- |
| 1 | 11.1 | -6.03 | 2.3 |
| 2 | 11.0 | -4.23 | 2.1 |
| 3 | 9.3 | -2.85 | 5.4 |
| 4 | 7.8 | -9.26 | 0.0 |
| 5 | 7.3 | -5.41 | 8.8 |
| 6 | 3.5 | -1.80 | 1.0 |
| 7 | 6.9 | -6.57 | 4.5 |
| 8 | 7.2 | -2.89 | 5.1 |
| 9 | 7.5 | -3.56 | 1.6 |
| 10 | 9.6 | -8.48 | 15.1 |
| 11 | 8.8 | -7.52 | 16.5 |
| 12 | 3.7 | -3.18 | 1.0 |